KCa2N2 | PBE | optimized geometry

Geometry as CIF:
```
data_KCa2N2
_cell_length_a 4.443
_cell_length_b 4.443
_cell_length_c 12.675
_cell_angle_alpha 90.00
_cell_angle_beta 90.00
_cell_angle_gamma 90.00
_space_group_name_H-M_alt 'I 4/m m m'
_space_group_IT_number 139
_space_group_name_Hall '-I 4 2'
loop_
_atom_site_label
_atom_site_fract_x
_atom_site_fract_y
_atom_site_fract_z
K1 0.000 0.000 0.000
Ca1 0.000 0.500 0.250
N1 0.000 0.000 0.320
```

Results
Calculated volume   25.03 A^3/atom
E above lowest polymorph   0 meV/atom



K2ZrCu | PBE | optimized geometry

Geometry as CIF:
```
data_K2ZrCu
_cell_length_a 6.378
_cell_length_b 12.160
_cell_length_c 3.067
_cell_angle_alpha 90.00
_cell_angle_beta 90.00
_cell_angle_gamma 90.00
_space_group_name_H-M_alt 'C m m m'
_space_group_IT_number 65
_space_group_name_Hall '-C 2 2'
loop_
_atom_site_label
_atom_site_fract_x
_atom_site_fract_y
_atom_site_fract_z
K1 0.250 0.250 0.000
Zr1 0.000 0.000 0.500
Cu1 0.000 0.500 0.500
```

Results
Calculated volume   29.73 A^3/atom
E above lowest polymorph   572 meV/atom
Calculated formation energy   980 meV/atom